# Ce2P3Ir4Rh

A geometry-optimized Ce2P3Ir4Rh structure (PBE-GGA, Alexandria).

Cell: 3.9693 3.9693 10.8139 Å, 90.00 90.00 90.00°
Closest atoms and distances in Å follow each position.
Space group P-4m2 (No. 115)
Asymmetric unit:
Ce (0.0000, 0.5000, 0.2395) (multiplicity 2)  4 Ir 2.91, 4 P 3.17
P (0.0000, 0.0000, 0.0000) (multiplicity 1)  4 Ir 2.70, 4 Rh 2.81
P (0.0000, 0.5000, 0.6236) (multiplicity 2)  5 Ir 2.24-2.39
Ir (0.0000, 0.0000, 0.5000) (multiplicity 1)  4 P 2.39
Ir (0.0000, 0.5000, 0.8311) (multiplicity 2)  1 P 2.24
Ir (0.5000, 0.5000, 0.5000) (multiplicity 1)  4 P 2.39
Rh (0.5000, 0.5000, 0.0000) (multiplicity 1)  4 Ir 2.70, 4 P 2.81

# PmSn2Bi

A geometry-optimized PmSn2Bi structure (PBE-GGA, Alexandria).

## Properties
Energy relative to the lowest polymorph listed for this composition ... 0.093 eV/atom

Cell: 4.2197 4.2197 6.4880 Å, 90.00 90.00 90.00°
Closest atoms and distances in Å follow each position.
Space group P4/mmm (No. 123)
Asymmetric unit:
Pm (0.0000, 0.0000, 0.0000) (multiplicity 1)  2 Bi 3.24, 8 Sn 3.39
Sn (0.5000, 0.5000, 0.2479) (multiplicity 2)  2 Sn 3.22-3.27, 4 Pm 3.39, 4 Bi 3.40
Bi (0.0000, 0.0000, 0.5000) (multiplicity 1)  2 Pm 3.24, 8 Sn 3.40

| no. | energy relative to the elements (eV/atom) |
| --- | --- |
| 1 | -0.85 |
| 2 | -0.35 |